Material: PuFeSnRh
Method: DFT, GGA-PBE
State: relaxed

Cell: 6.6234 6.6234 6.6234 Å, 90.00 90.00 90.00°
Space group F-43m (No. 216)
Asymmetric unit:
1 Pu 0.0000 0.0000 0.0000 (multiplicity 4)
2 Fe 0.2500 0.2500 0.2500 (multiplicity 4)
3 Sn 0.0000 0.0000 0.5000 (multiplicity 4)
4 Rh 0.2500 0.2500 0.7500 (multiplicity 4)

* crystal system: cubic
* energy of formation: -0.29 eV per atom
* E: -8.8291 eV/atom
* total magnetization: 0.65 μB per atom

---

Material: Mn2V7Ga3
Method: DFT, GGA-PBE
State: relaxed

Cell: 4.4397 2.7639 13.3748 Å, 90.00 91.38 90.00°
Space group P2/m (No. 10)
Asymmetric unit:
1 Mn 0.2255 0.0000 0.2900 (multiplicity 2)
2 V 0.0000 0.5000 0.0000 (multiplicity 1)
3 V 0.1595 0.0000 0.8216 (multiplicity 2)
4 V 0.2472 0.0000 0.4597 (multiplicity 2)
5 V 0.3744 0.5000 0.1598 (multiplicity 2)
6 Ga 0.2670 0.5000 0.6435 (multiplicity 2)
7 Ga 0.5000 0.0000 0.0000 (multiplicity 1)

* crystal system: monoclinic
* energy of formation: 0.06 eV per atom
* E: -7.5412 eV/atom
* total magnetization: 0.00 μB per atom

---

Material: MgZrNiPd
Method: DFT, GGA-PBE
State: relaxed

Cell: 6.4320 6.4320 6.4320 Å, 90.00 90.00 90.00°
Space group F-43m (No. 216)
Asymmetric unit:
1 Mg 0.0000 0.0000 0.0000 (multiplicity 4)
2 Zr 0.0000 0.0000 0.5000 (multiplicity 4)
3 Ni 0.2500 0.2500 0.2500 (multiplicity 4)
4 Pd 0.2500 0.2500 0.7500 (multiplicity 4)

* crystal system: cubic
* energy of formation: -0.50 eV per atom
* E: -5.7775 eV/atom
* total magnetization: 0.00 μB per atom

---

Material: BaSc2Zn2
Method: DFT, GGA-PBE
State: relaxed

Cell: 4.8185 4.8185 11.4856 Å, 90.00 90.00 90.00°
Space group I4/mmm (No. 139)
Asymmetric unit:
1 Ba 0.0000 0.0000 0.0000 (multiplicity 2)
2 Sc 0.0000 0.5000 0.2500 (multiplicity 4)
3 Zn 0.0000 0.0000 0.3882 (multiplicity 4)

* crystal system: tetragonal
* energy of formation: -0.03 eV per atom
* E: -3.4539 eV/atom
* total magnetization: 0.00 μB per atom

---

Material: UTa2N4
Method: DFT, GGA-PBE
State: relaxed

Cell: 3.1318 10.2912 10.2952 Å, 90.00 90.00 90.00°
Space group Cmcm (No. 63)
Asymmetric unit:
1 U 0.0000 0.1123 0.2500 (multiplicity 4)
2 Ta 0.0000 0.3702 0.0640 (multiplicity 8)
3 N 0.0000 0.0000 0.0000 (multiplicity 4)
4 N 0.0000 0.2646 0.6178 (multiplicity 8)
5 N 0.0000 0.4469 0.2500 (multiplicity 4)

* crystal system: orthorhombic
* E: -10.9607 eV/atom
* total magnetization: 0.23 μB per atom
* E_form (uncorrected): -1.204 eV/atom

---

Material: YNiAu2
Method: DFT, GGA-PBE
State: relaxed

Cell: 3.6825 3.9980 5.6292 Å, 90.00 108.99 90.00°
Space group Pm (No. 6)
Asymmetric unit:
1 Y 0.0000 0.0000 0.0000 (multiplicity 1)
2 Ni 0.4188 0.5000 0.8354 (multiplicity 1)
3 Au 0.2732 0.0000 0.5464 (multiplicity 1)
4 Au 0.6633 0.5000 0.3272 (multiplicity 1)

* crystal system: monoclinic
* energy of formation: -0.42 eV per atom
* E: -5.1194 eV/atom
* total magnetization: 0.00 μB per atom

---

Material: BaLi4TlPb2
Method: DFT, GGA-PBE
State: relaxed

Cell: 4.9404 4.9404 28.8944 Å, 90.00 90.00 120.00°
Space group R-3m (No. 166, hexagonal axes)
Asymmetric unit:
1 Ba 0.0000 0.0000 0.0000 (multiplicity 3)
2 Li 0.0000 0.0000 0.1314 (multiplicity 6)
3 Li 0.0000 0.0000 0.4073 (multiplicity 6)
4 Tl 0.0000 0.0000 0.5000 (multiplicity 3)
5 Pb 0.0000 0.0000 0.2485 (multiplicity 6)

* crystal system: trigonal
* energy of formation: -0.32 eV per atom
* E: -2.7360 eV/atom
* total magnetization: 0.00 μB per atom

---

Material: Cr2In2NiS6
Method: DFT, GGA-PBE
State: relaxed

Cell: 6.1706 10.7868 6.6908 Å, 90.00 108.95 90.00°
Space group C2/m (No. 12)
Asymmetric unit:
1 Cr 0.0000 0.1682 0.0000 (multiplicity 4)
2 In 0.0000 0.3309 0.5000 (multiplicity 4)
3 Ni 0.0000 0.5000 0.0000 (multiplicity 2)
4 S 0.2372 0.3304 0.2066 (multiplicity 8)
5 S 0.2485 0.0000 0.1894 (multiplicity 4)

* crystal system: monoclinic
* E: -5.4925 eV/atom
* total magnetization: 0.48 μB per atom
* E_form (uncorrected): -0.468 eV/atom

---

Material: BaAc2Se4
Method: DFT, GGA-PBE
State: relaxed

Cell: 12.7839 4.6142 16.1307 Å, 90.00 90.00 90.00°
Space group Pnma (No. 62)
Asymmetric unit:
1 Ba 0.2352 0.2500 0.1579 (multiplicity 4)
2 Ac 0.0615 0.7500 0.3902 (multiplicity 4)
3 Ac 0.1052 0.7500 0.8988 (multiplicity 4)
4 Se 0.0069 0.7500 0.7182 (multiplicity 4)
5 Se 0.0624 0.7500 0.0876 (multiplicity 4)
6 Se 0.1539 0.2500 0.5094 (multiplicity 4)
7 Se 0.2260 0.2500 0.8079 (multiplicity 4)

* crystal system: orthorhombic
* E: -5.4831 eV/atom
* total magnetization: 0.00 μB per atom
* E_form (uncorrected): -2.043 eV/atom

---

Material: Y2AlTc
Method: DFT, GGA-PBE
State: relaxed

Cell: 4.3312 3.8876 11.1738 Å, 90.00 90.00 90.00°
Space group Amm2 (No. 38)
Asymmetric unit:
1 Y 0.0000 0.0000 0.0000 (multiplicity 2)
2 Y 0.5000 0.0000 0.2921 (multiplicity 2)
3 Al 0.5000 0.0000 0.5850 (multiplicity 2)
4 Tc 0.0000 0.0000 0.7066 (multiplicity 2)

* crystal system: orthorhombic
* energy of formation: -0.19 eV per atom
* E: -6.9470 eV/atom
* total magnetization: 0.00 μB per atom

---

Material: NaPSCl2
Method: DFT, GGA-PBE
State: relaxed

Cell: 5.0816 5.0816 4.4436 Å, 90.00 90.00 90.00°
Space group P4/mmm (No. 123)
Asymmetric unit:
1 Na 0.0000 0.0000 0.0000 (multiplicity 1)
2 P 0.5000 0.5000 0.5000 (multiplicity 1)
3 S 0.5000 0.5000 0.0000 (multiplicity 1)
4 Cl 0.0000 0.5000 0.5000 (multiplicity 2)

* crystal system: tetragonal
* E: -3.4367 eV/atom
* total magnetization: 0.00 μB per atom
* E_form (uncorrected): -0.527 eV/atom

---

Material: MnRuAuCS
Method: DFT, GGA-PBE
State: relaxed

Cell: 10.8321 2.9979 4.7625 Å, 90.00 113.92 90.00°
Space group Cm (No. 8)
Asymmetric unit:
1 Mn 0.0000 0.0000 0.0000 (multiplicity 2)
2 Ru 0.2373 0.5000 0.8706 (multiplicity 2)
3 Au 0.2753 0.0000 0.3933 (multiplicity 2)
4 C 0.3838 0.0000 0.9251 (multiplicity 2)
5 S 0.0633 0.0000 0.5955 (multiplicity 2)

* crystal system: monoclinic
* E: -6.7531 eV/atom
* total magnetization: 0.37 μB per atom
* E_form (uncorrected): 0.262 eV/atom

---

Question: What is the formula in the fourth record?
Answer: BaSc2Zn2

---

Question: Number 1 is which compound?
Answer: PuFeSnRh

---

Question: The highest E belongs to which entry?
Answer: BaLi4TlPb2

---

Question: Which value of E does entry 9 give?
Answer: -5.4831 eV/atom